1.
Here is a relaxed Pu2SnH crystal from Alexandria via LeMat-Bulk. Energies are from PBE-GGA.

Distance to the lowest polymorph of the same formula   170.2 meV per atom
Spin magnetization   0.234 μB per atom
DOS at the Fermi energy   1.568 states/eV per atom
Calculated density   14.9 g cm⁻³

Cell lengths 5.445, 5.445, 7.496 Å; angles 90.00, 90.00, 142.39 degrees
Fractional coordinates of all 8 atoms:
Pu (0.183, 0.817, 0.542)
Pu (0.183, 0.817, 0.958)
Pu (0.817, 0.183, 0.042)
Pu (0.817, 0.183, 0.458)
Sn (0.466, 0.534, 0.750)
Sn (0.534, 0.466, 0.250)
H (0.263, 0.737, 0.250)
H (0.737, 0.263, 0.750)

2.
Here is a relaxed Pu2SnH crystal from Alexandria via LeMat-Bulk. Energies are from PBE-GGA.

Distance to the lowest polymorph of the same formula   0.0 meV per atom
Spin magnetization   3.113 μB per atom
DOS at the Fermi energy   2.353 states/eV per atom
Calculated density   12.4 g cm⁻³

Cell lengths 3.235, 3.235, 7.776 Å; angles 90.00, 90.00, 90.00 degrees
Fractional coordinates of all 4 atoms:
Pu (0.000, 0.000, 0.201)
Pu (0.000, 0.000, 0.799)
Sn (0.500, 0.500, 0.500)
H (0.500, 0.500, 0.000)

3.
Here is a relaxed Pu4Sn2H crystal from Alexandria via LeMat-Bulk. Energies are from PBE-GGA.

Calculated total energy   -10.0497 eV per atom
Spin magnetization   3.310 μB per atom
DOS at the Fermi energy   4.495 states/eV per atom
Calculated density   11.5 g cm⁻³

Cell lengths 8.821, 8.821, 8.821 Å; angles 149.54, 149.54, 43.62 degrees
Fractional coordinates of all 7 atoms:
Pu (0.000, 0.500, 0.500)
Pu (0.168, 0.168, 0.000)
Pu (0.500, 0.000, 0.500)
Pu (0.832, 0.832, 0.000)
Sn (0.360, 0.360, 0.000)
Sn (0.640, 0.640, 0.000)
H (0.000, 0.000, 0.000)

4.
Here is a relaxed Sr2PuH crystal from Alexandria via LeMat-Bulk. Energies are from PBE-GGA.

Calculated total energy   -5.1339 eV per atom
Spin magnetization   1.754 μB per atom
DOS at the Fermi energy   2.948 states/eV per atom
Calculated density   5.7 g cm⁻³

Cell lengths 9.837, 9.837, 9.837 Å; angles 22.47, 22.47, 22.47 degrees
Fractional coordinates of all 4 atoms:
Sr (0.224, 0.224, 0.224)
Sr (0.776, 0.776, 0.776)
Pu (0.000, 0.000, 0.000)
H (0.500, 0.500, 0.500)